Record 1
# Nb2InSiPb

A relaxed structure of Nb2InSiPb (PBE, Alexandria via LeMat-Bulk).

Computed properties:
The space-group type is P4/mmm. The value obtained for the theoretical density is 7.684 Mg/m³. Its formation energy without anion corrections is 0.70 eV/atom.

POSCAR file:
```
Nb2InSiPb
1.0
4.8396 0.0000 0.0000
0.0000 4.8396 0.0000
0.0000 0.0000 4.9449
Nb In Si Pb
2 1 1 1
direct
0.0000 0.5000 0.0000
0.5000 0.0000 0.0000
0.0000 0.0000 0.5000
0.0000 0.0000 0.0000
0.5000 0.5000 0.5000
```

=====

Record 2
# La2ReMo

A relaxed structure of La2ReMo (PBE, Alexandria via LeMat-Bulk).

Computed properties:
As for the excess energy over the best structure of this formula in the dataset: 745.5 meV/atom. The calculation puts the energy relative to the elements at 0.92 eV per atom. The space-group type is R-3m. The value obtained for the theoretical density is 9.920 Mg/m³.

POSCAR file:
```
La2ReMo
1.0
1.7061 0.9850 9.2959
-1.7061 0.9850 9.2959
0.0000 -1.9701 9.2959
La Re Mo
2 1 1
direct
0.2474 0.2474 0.2474
0.7526 0.7526 0.7526
0.5000 0.5000 0.5000
0.0000 0.0000 0.0000
```

=====

Record 3
# Sr2ScSnPb

A relaxed structure of Sr2ScSnPb (PBE, Alexandria via LeMat-Bulk).

Computed properties:
The calculation puts the energy relative to the elements at 0.42 eV per atom. The space-group type is P4/mmm. The value obtained for the theoretical density is 4.393 Mg/m³.

POSCAR file:
```
Sr2ScSnPb
1.0
6.1185 0.0000 0.0000
0.0000 6.1185 0.0000
0.0000 0.0000 5.5147
Sr Sc Sn Pb
2 1 1 1
direct
0.0000 0.5000 0.0000
0.5000 0.0000 0.0000
0.0000 0.0000 0.0000
0.5000 0.5000 0.5000
0.0000 0.0000 0.5000
```

=====

no.,magnetization (μB/f.u.)
1,0.0
2,1.9
3,1.5